# 1
A plane-wave DFT calculation with PBE was carried out for a relaxed structure of Nd3TmIn12.

Summary:
As for the theoretical density: 7.941 g/cm³. As for the total magnetization: 0.00 μB per formula unit. As for the final energy: -58.663 eV/f.u. The value obtained for the energy of formation is -0.439 eV/atom.

Cell: 4.688 4.688 18.832 Å, 90.00 90.00 90.00°
Element x y z (fractional)
In 0.000 0.500 0.879
In 0.500 0.500 0.751
In 0.500 0.000 0.373
In 0.500 0.000 0.627
In 0.500 0.500 0.000
In 0.500 0.500 0.500
In 0.000 0.500 0.121
In 0.500 0.000 0.879
In 0.000 0.500 0.627
Tm 0.000 0.000 0.000
In 0.500 0.500 0.249
Nd 0.000 0.000 0.500
Nd 0.000 0.000 0.247
Nd 0.000 0.000 0.753
In 0.500 0.000 0.121
In 0.000 0.500 0.373

# 2
A plane-wave DFT calculation with PBE was carried out for a relaxed structure of Cr2Os.

Summary:
As for the theoretical density: 12.774 g/cm³. As for the total magnetization: 0.00 μB per formula unit. As for the final energy: -30.105 eV/f.u. The value obtained for the energy of formation is 0.124 eV/atom.

Cell: 5.141 3.967 7.501 Å, 90.00 90.00 90.00°
Element x y z (fractional)
Os 0.841 0.750 0.067
Cr 0.533 0.250 0.232
Cr 0.467 0.750 0.768
Cr 0.967 0.750 0.732
Os 0.159 0.250 0.933
Cr 0.033 0.250 0.268
Cr 0.346 0.750 0.098
Cr 0.846 0.750 0.402
Cr 0.154 0.250 0.598
Os 0.659 0.250 0.567
Cr 0.654 0.250 0.902
Os 0.341 0.750 0.433

# 3
A plane-wave DFT calculation with PBE was carried out for a relaxed structure of CsSrNpCl6.

Summary:
As for the theoretical density: 3.058 g/cm³. As for the total magnetization: 4.00 μB per formula unit. As for the final energy: -45.088 eV/f.u.

Cell: 7.542 7.542 14.778 Å, 90.00 90.00 120.00°
Element x y z (fractional)
Cl 0.984 0.368 0.145
Np 0.333 0.667 0.750
Cl 0.368 0.984 0.645
Cl 0.385 0.016 0.145
Cl 0.385 0.368 0.355
Cl 0.615 0.984 0.855
Np 0.667 0.333 0.250
Sr 0.667 0.333 0.750
Cl 0.984 0.615 0.355
Cl 0.016 0.632 0.855
Cl 0.632 0.016 0.355
Sr 0.333 0.667 0.250
Cl 0.615 0.632 0.645
Cs 0.000 0.000 0.000
Cs 0.000 0.000 0.500
Cl 0.368 0.385 0.855
Cl 0.632 0.615 0.145
Cl 0.016 0.385 0.645

# 4
A plane-wave DFT calculation with PBE was carried out for a relaxed structure of SrTl5Pb2.

Summary:
The calculation puts the polymorph energy (0 for the lowest one) at 71 meV per atom. As for the theoretical density: 9.673 g/cm³. As for the total magnetization: 0.00 μB per formula unit. As for the final energy: -21.386 eV/f.u. The value obtained for the energy of formation is -0.057 eV/atom.

Cell: 8.683 8.683 9.266 Å, 117.94 117.94 90.00°
Element x y z (fractional)
Tl 0.988 0.488 0.681
Tl 0.194 0.988 0.681
Tl 0.306 0.806 0.319
Sr 0.750 0.750 0.500
Tl 0.488 0.694 0.681
Tl 0.500 0.500 0.000
Tl 0.012 0.512 0.319
Tl 0.512 0.306 0.319
Pb 0.357 0.857 0.000
Tl 0.806 0.012 0.319
Tl 0.694 0.194 0.681
Pb 0.143 0.357 0.000
Pb 0.643 0.143 0.000
Pb 0.857 0.643 0.000
Tl 0.000 0.000 0.000
Sr 0.250 0.250 0.500

The highest total magnetization belongs to which entry?
CsSrNpCl6

Among the records above, which one has the highest final energy?
SrTl5Pb2